A relaxed TmHgPb2 crystal. Source: Alexandria, functional GGA-PBE.

Geometry as extended XYZ:
```
4
Lattice="2.591 1.496 5.456 -2.591 1.496 5.456 0.000 -2.992 5.456" Properties=species:S:1:pos:R:3 pbc="T T T"
Tm 0.000 0.000 0.000
Hg 0.000 0.000 3.111
Pb 0.000 0.000 10.042
Pb 0.000 0.000 13.118
```

Computed properties:
Raw total energy = -3.050 eV/atom
Formation enthalpy at 0 K = -3 meV/atom
Space group = R3m (160)

***

A relaxed Tm3HgPb2 crystal. Source: Alexandria, functional GGA-PBE.

Geometry as extended XYZ:
```
24
Lattice="12.373 0.000 0.000 0.000 4.723 0.000 0.000 0.000 11.326" Properties=species:S:1:pos:R:3 pbc="T T T"
Tm 0.342 1.181 1.433
Tm 1.786 3.542 6.570
Tm 2.428 1.181 9.281
Tm 3.758 3.542 3.618
Tm 4.400 1.181 0.907
Tm 5.844 3.542 7.096
Tm 6.529 1.181 4.230
Tm 7.973 3.542 10.419
Tm 8.615 1.181 7.707
Tm 9.945 3.542 2.044
Tm 10.587 1.181 4.756
Tm 12.031 3.542 9.893
Hg 2.042 1.181 3.837
Hg 4.145 3.542 9.500
Hg 8.228 1.181 1.826
Hg 10.331 3.542 7.489
Pb 0.093 3.542 3.815
Pb 2.203 3.542 0.488
Pb 3.983 1.181 6.151
Pb 6.093 1.181 9.478
Pb 6.280 3.542 1.848
Pb 8.389 3.542 5.175
Pb 10.170 1.181 10.838
Pb 12.280 1.181 7.511
```

Computed properties:
Raw total energy = -3.890 eV/atom
Formation enthalpy at 0 K = -368 meV/atom
Space group = Pnma (62)

***

A relaxed Tm3Hg5Pb crystal. Source: Alexandria, functional GGA-PBE.

Geometry as extended XYZ:
```
18
Lattice="8.955 0.000 0.000 -4.477 7.755 0.000 0.000 0.000 6.392" Properties=species:S:1:pos:R:3 pbc="T T T"
Tm -1.521 2.634 1.598
Tm -2.956 5.121 4.794
Tm 3.042 0.000 1.598
Tm 1.521 2.634 4.794
Tm 5.913 0.000 4.794
Tm 2.956 5.121 1.598
Hg -1.497 2.592 4.794
Hg -2.980 5.162 1.598
Hg 0.000 5.170 0.000
Hg 0.000 5.170 3.196
Hg 2.994 0.000 4.794
Hg 1.497 2.592 1.598
Hg 5.961 0.000 1.598
Hg 2.980 5.162 4.794
Hg 4.477 2.585 0.000
Hg 4.477 2.585 3.196
Pb 0.000 0.000 0.000
Pb 0.000 0.000 3.196
```

Computed properties:
Raw total energy = -2.413 eV/atom
Formation enthalpy at 0 K = -343 meV/atom
Space group = P6_3/mcm (193)

***

A relaxed Tm3Hg2Pb3 crystal. Source: Alexandria, functional GGA-PBE.

Geometry as extended XYZ:
```
16
Lattice="8.930 0.000 0.000 -4.465 7.734 0.000 0.000 0.000 6.341" Properties=species:S:1:pos:R:3 pbc="T T T"
Tm -1.806 3.127 1.585
Tm -2.659 4.606 4.756
Tm 3.611 0.000 1.585
Tm 1.806 3.127 4.756
Tm 5.319 0.000 4.756
Tm 2.659 4.606 1.585
Hg 0.000 5.156 0.000
Hg 0.000 5.156 3.171
Hg 4.465 2.578 0.000
Hg 4.465 2.578 3.171
Pb -1.021 1.769 4.756
Pb -3.444 5.965 1.585
Pb 2.042 0.000 4.756
Pb 1.021 1.769 1.585
Pb 6.888 0.000 1.585
Pb 3.444 5.965 4.756
```

Computed properties:
Offset from the most stable computed form = 0.0 kJ/mol of formula units
Raw total energy = -3.414 eV/atom
Formation enthalpy at 0 K = -272 meV/atom
Space group = P6_3/mcm (193)